No. 1
Ca2Nd4Ho: relaxed, PBE-GGA.

Unit cell a=3.590 b=5.929 c=12.411 alpha=103.84 beta=98.32 gamma=90.00
Positions (direct):
Nd1 0.920 0.420 0.841
Nd2 0.630 0.130 0.259
Nd3 0.080 0.580 0.159
Nd4 0.370 0.870 0.741
Ho1 0.000 0.000 0.000
Ca1 0.721 0.721 0.442
Ca2 0.279 0.279 0.558

Results
Spin magnetization = 0.000 μB per cell
Density = 5.381 Mg/m³
Crystal system = orthorhombic
Energy of formation = 119 meV per atom
Excess energy over the best structure of this formula in the dataset = 0.0 meV per atom

No. 2
CaNd5Ho3: relaxed, PBE-GGA.

Unit cell a=9.985 b=12.264 c=7.116 alpha=125.48 beta=90.00 gamma=114.02
Positions (direct):
Ho1 0.333 0.666 0.166
Ho2 0.000 0.000 0.500
Ho3 0.667 0.334 0.834
Ho4 0.667 0.334 0.334
Ho5 0.000 0.000 0.000
Ho6 0.333 0.666 0.666
Nd1 0.363 0.366 0.616
Nd2 0.657 0.000 0.250
Nd3 0.304 0.309 0.060
Nd4 0.003 0.366 0.116
Nd5 0.637 0.634 0.384
Nd6 0.997 0.634 0.884
Nd7 0.006 0.309 0.560
Nd8 0.343 0.000 0.750
Nd9 0.696 0.691 0.940
Nd10 0.994 0.691 0.440
Ca1 0.685 0.000 0.750
Ca2 0.315 0.000 0.250

Results
Spin magnetization = 0.000 μB per cell
Density = 6.788 Mg/m³
Crystal system = orthorhombic
Energy of formation = 74 meV per atom